# Ge5Bi3Au12 PBE optimized geometry
data_Ge5Bi3Au12
_chemical_formula_sum 'Ge40 Bi24 Au96'
_cell_length_a 15.808
_cell_length_b 15.808
_cell_length_c 15.808
_cell_angle_alpha 90.00
_cell_angle_beta 90.00
_cell_angle_gamma 90.00
_space_group_name_H-M_alt 'I a -3 d'
_space_group_IT_number 230
_space_group_name_Hall '-I 4bd 2c 3'
loop_
_atom_site_label
_atom_site_type_symbol
_atom_site_fract_x
_atom_site_fract_y
_atom_site_fract_z
Ge1 Ge 0.000 0.000 0.000
Ge2 Ge 0.000 0.250 0.375
Bi1 Bi 0.000 0.250 0.125
Au1 Au 0.024 0.067 0.648
# DOS at the Fermi energy ... 0.56 states/eV/atom
# Energy ... -3.544 eV/atom